The following is a DFT calculation (PBE) of La2InCoPt after structural relaxation.

**Spin magnetization**: 1.057 μB/f.u.
**ΔH_f (0 K)**: 0.56 eV per atom

abc: 5.8757 5.8757 4.5847
angles: 90.00 90.00 90.00
Last column: nearest neighbours and their distance in Å.
Space group P4/mmm (No. 123)
Unique sites:
La (0.0000, 0.5000, 0.0000) x2  2 In 2.94
In (0.0000, 0.0000, 0.0000) x1  2 Co 2.29
Co (0.0000, 0.0000, 0.5000) x1  2 In 2.29
Pt (0.5000, 0.5000, 0.5000) x1  8 La 3.73, 4 Co 4.15

***

The following is a DFT calculation (PBE) of RbLaIn2Co after structural relaxation.

**Spin magnetization**: 1.367 μB/f.u.
**ΔH_f (0 K)**: 0.33 eV per atom

abc: 5.1151 5.1151 5.4567
angles: 90.00 90.00 90.00
Last column: nearest neighbours and their distance in Å.
Space group P4/mmm (No. 123)
Unique sites:
Rb (0.0000, 0.0000, 0.0000) x1  2 Co 2.73
La (0.5000, 0.5000, 0.0000) x1  4 Rb 3.62, 8 In 3.74
In (0.0000, 0.5000, 0.5000) x2  2 Co 2.56
Co (0.0000, 0.0000, 0.5000) x1  4 In 2.56, 2 Rb 2.73

***

The following is a DFT calculation (PBE) of La6In2CoRu after structural relaxation.

**Spin magnetization**: 0.000 μB/f.u.
**ΔH_f (0 K)**: -0.31 eV per atom

abc: 10.7787 10.7958 10.8199
angles: 90.00 90.00 90.00
Last column: nearest neighbours and their distance in Å.
Space group Fmm2 (No. 42)
Unique sites:
La (0.0000, 0.0000, 0.0000) x4  1 Co 2.67, 1 Ru 2.73
La (0.0000, 0.0000, 0.4936) x4  1 Co 2.67, 1 Ru 2.75
La (0.0000, 0.2468, 0.2468) x8  1 Co 2.66, 1 Ru 2.73
La (0.2466, 0.0000, 0.2466) x8  1 Co 2.66, 1 Ru 2.73
In (0.2500, 0.2500, 0.4969) x8  12 La 3.81-3.82
Co (0.0000, 0.0000, 0.2466) x4  6 La 2.66-2.67
Ru (0.0000, 0.0000, 0.7474) x4  6 La 2.73-2.75

***

The following is a DFT calculation (PBE) of LaIn2CoSb after structural relaxation.

**Formation energy (no corrections)**: -0.38 eV/atom
**Spin magnetization**: 0.000 μB/f.u.

abc: 4.9931 4.9931 5.1364
angles: 90.00 90.00 90.00
Last column: nearest neighbours and their distance in Å.
Space group P4/mmm (No. 123)
Unique sites:
La (0.0000, 0.0000, 0.0000) x1  2 Co 2.57
In (0.0000, 0.5000, 0.5000) x2  2 Co 2.50
Co (0.0000, 0.0000, 0.5000) x1  4 In 2.50, 2 La 2.57
Sb (0.5000, 0.5000, 0.0000) x1  4 La 3.53, 8 In 3.58

***

The following is a DFT calculation (PBE) of LaInCoSi2 after structural relaxation.

**Formation energy (no corrections)**: -0.16 eV/atom
**Spin magnetization**: 0.000 μB/f.u.

abc: 4.5887 4.5887 4.9837
angles: 90.00 90.00 90.00
Last column: nearest neighbours and their distance in Å.
Space group P4/mmm (No. 123)
Unique sites:
La (0.0000, 0.0000, 0.0000) x1  2 Co 2.49
In (0.5000, 0.5000, 0.0000) x1  4 La 3.24, 8 Si 3.39
Co (0.0000, 0.0000, 0.5000) x1  4 Si 2.29, 2 La 2.49
Si (0.0000, 0.5000, 0.5000) x2  2 Co 2.29

***

The following is a DFT calculation (PBE) of La2InCoSi after structural relaxation.

**Formation energy (no corrections)**: -0.42 eV/atom
**Spin magnetization**: 0.000 μB/f.u.

abc: 5.3647 5.3647 4.4402
angles: 90.00 90.00 90.00
Last column: nearest neighbours and their distance in Å.
Space group P4/mmm (No. 123)
Unique sites:
La (0.0000, 0.5000, 0.0000) x2  2 Co 2.68
In (0.0000, 0.0000, 0.5000) x1  8 La 3.48, 4 Si 3.79
Co (0.5000, 0.5000, 0.0000) x1  2 Si 2.22
Si (0.5000, 0.5000, 0.5000) x1  2 Co 2.22

***

The following is a DFT calculation (PBE) of La3SmInCo after structural relaxation.

**Spin magnetization**: 0.000 μB/f.u.
**ΔH_f (0 K)**: -0.25 eV per atom

abc: 17.2867 7.1905 6.1070
angles: 90.00 110.39 90.00
Last column: nearest neighbours and their distance in Å.
Space group C2/m (No. 12)
Unique sites:
La (0.1188, 0.2436, 0.1160) x8  1 Co 2.58
La (0.1939, 0.5000, 0.7044) x4  1 Co 3.21, 2 La 3.50, 3 In 3.53-3.60
Sm (0.0000, 0.2421, 0.5000) x4  2 Co 2.72
In (0.1895, 0.0000, 0.6916) x4  2 Sm 3.53, 10 La 3.53-3.73
Co (0.0314, 0.5000, 0.8456) x4  1 Co 2.48, 2 La 2.58, 2 Sm 2.72

***

The following is a DFT calculation (PBE) of LaSm2InCo after structural relaxation.

**Spin magnetization**: 0.000 μB/f.u.
**ΔH_f (0 K)**: -0.23 eV per atom

abc: 6.8144 5.0274 8.7682
angles: 90.00 111.33 90.00
Last column: nearest neighbours and their distance in Å.
Space group P2_1/m (No. 11)
Unique sites:
La (0.2471, 0.2500, 0.0576) x2  1 Co 2.42
Sm (0.1003, 0.7500, 0.4069) x2  2 Co 2.89
Sm (0.4536, 0.2500, 0.6535) x2  1 Co 2.61
In (0.1915, 0.7500, 0.7984) x2  1 Co 2.85
Co (0.2574, 0.2500, 0.3362) x2  1 La 2.42, 1 Sm 2.61

***

The following is a DFT calculation (PBE) of La2InCoSn after structural relaxation.

**Polymorph energy (0 for the lowest one)**: 0.0 meV/atom
**Spin magnetization**: 0.000 μB/f.u.
**ΔH_f (0 K)**: -0.49 eV per atom

abc: 5.2337 5.2337 4.9937
angles: 90.00 90.00 90.00
Last column: nearest neighbours and their distance in Å.
Space group P4/mmm (No. 123)
Unique sites:
La (0.0000, 0.5000, 0.0000) x2  2 Co 2.62
In (0.0000, 0.0000, 0.5000) x1  2 Co 2.50
Co (0.0000, 0.0000, 0.0000) x1  2 In 2.50, 4 La 2.62
Sn (0.5000, 0.5000, 0.5000) x1  8 La 3.62, 4 In 3.70

***

The following is a DFT calculation (PBE) of La4InCoSn after structural relaxation.

**Spin magnetization**: 0.000 μB/f.u.
**ΔH_f (0 K)**: -0.40 eV per atom

abc: 7.2143 17.2995 7.1917
angles: 90.00 90.00 90.00
Last column: nearest neighbours and their distance in Å.
Space group Cmcm (No. 63)
Unique sites:
La (0.0000, 0.0745, 0.2500) x4  1 Co 2.93, 1 In 3.24
La (0.0000, 0.4261, 0.2500) x4  1 Co 3.15, 1 Sn 3.22
La (0.2500, 0.2500, 0.0000) x8  2 Co 2.55
In (0.0000, 0.1125, 0.7500) x4  5 La 3.24-3.48
Co (0.0000, 0.2439, 0.2500) x4  4 La 2.55
Sn (0.0000, 0.3878, 0.7500) x4  5 La 3.22-3.49

***

The following is a DFT calculation (PBE) of La2InCoSn after structural relaxation.

**Polymorph energy (0 for the lowest one)**: 41.0 meV/atom
**Spin magnetization**: 0.000 μB/f.u.
**ΔH_f (0 K)**: -0.45 eV per atom

abc: 5.2775 5.2775 4.9484
angles: 90.00 90.00 90.00
Last column: nearest neighbours and their distance in Å.
Space group P4/mmm (No. 123)
Unique sites:
La (0.0000, 0.5000, 0.0000) x2  2 Co 2.64
In (0.0000, 0.0000, 0.5000) x1  8 La 3.62, 4 Sn 3.73
Co (0.5000, 0.5000, 0.0000) x1  2 Sn 2.47, 4 La 2.64
Sn (0.5000, 0.5000, 0.5000) x1  2 Co 2.47

***

The following is a DFT calculation (PBE) of SrLa2InCo after structural relaxation.

**Polymorph energy (0 for the lowest one)**: 0.0 meV/atom
**Spin magnetization**: 0.000 μB/f.u.
**ΔH_f (0 K)**: -0.17 eV per atom

abc: 5.3994 5.3994 5.3040
angles: 90.00 90.00 90.00
Last column: nearest neighbours and their distance in Å.
Space group P4/mmm (No. 123)
Unique sites:
Sr (0.0000, 0.0000, 0.0000) x1  8 La 3.78, 4 In 3.82
La (0.0000, 0.5000, 0.5000) x2  2 Co 2.70
In (0.5000, 0.5000, 0.0000) x1  2 Co 2.65
Co (0.5000, 0.5000, 0.5000) x1  2 In 2.65, 4 La 2.70

***

The following is a DFT calculation (PBE) of SrLa2InCo after structural relaxation.

**Polymorph energy (0 for the lowest one)**: 21.5 meV/atom
**Spin magnetization**: 0.000 μB/f.u.
**ΔH_f (0 K)**: -0.15 eV per atom

abc: 5.2628 5.2628 5.7613
angles: 90.00 90.00 90.00
Last column: nearest neighbours and their distance in Å.
Space group P4/mmm (No. 123)
Unique sites:
Sr (0.0000, 0.0000, 0.0000) x1  2 Co 2.88
La (0.0000, 0.5000, 0.5000) x2  2 Co 2.63
In (0.5000, 0.5000, 0.0000) x1  4 Sr 3.72, 8 La 3.90
Co (0.0000, 0.0000, 0.5000) x1  4 La 2.63, 2 Sr 2.88

***

The following is a DFT calculation (PBE) of SrLaIn2Co after structural relaxation.

**Spin magnetization**: 0.000 μB/f.u.
**ΔH_f (0 K)**: -0.29 eV per atom

abc: 5.2928 5.2928 4.9426
angles: 90.00 90.00 90.00
Last column: nearest neighbours and their distance in Å.
Space group P4/mmm (No. 123)
Unique sites:
Sr (0.0000, 0.0000, 0.0000) x1  8 In 3.62, 4 La 3.74
La (0.5000, 0.5000, 0.0000) x1  2 Co 2.47
In (0.0000, 0.5000, 0.5000) x2  2 Co 2.65
Co (0.5000, 0.5000, 0.5000) x1  2 La 2.47, 4 In 2.65

***

The following is a DFT calculation (PBE) of La6In2CoTc after structural relaxation.

**Spin magnetization**: 0.000 μB/f.u.
**ΔH_f (0 K)**: -0.24 eV per atom

abc: 7.5917 7.6091 7.6208
angles: 60.09 60.60 60.26
Last column: nearest neighbours and their distance in Å.
Space group P1 (No. 1)
Unique sites:
La (0.0000, 0.0000, 0.0000) x1  1 Tc 2.58, 1 Co 2.70
La (0.0072, 0.5108, 0.9840) x1  1 Co 2.68, 1 Tc 2.92
La (0.0692, 0.4784, 0.4668) x1  1 Tc 2.60, 1 Co 2.69
La (0.4824, 0.9790, 0.0631) x1  1 Co 2.67, 1 Tc 2.89
La (0.5453, 0.9469, 0.5388) x1  1 Tc 2.59, 1 Co 2.71
La (0.5613, 0.4472, 0.5315) x1  1 Co 2.67, 1 Tc 2.90
In (0.0260, 0.9761, 0.5124) x1  7 La 3.48-3.83
In (0.5264, 0.4724, 0.0114) x1  8 La 3.50-3.91
Co (0.7763, 0.7247, 0.2626) x1  6 La 2.67-2.71
Tc (0.2664, 0.2104, 0.7475) x1  4 La 2.58-2.89

***

The following is a DFT calculation (PBE) of La2InCoTe after structural relaxation.

**Formation energy (no corrections)**: -0.71 eV/atom
**Spin magnetization**: 0.000 μB/f.u.

abc: 5.3317 5.3317 4.9173
angles: 90.00 90.00 90.00
Last column: nearest neighbours and their distance in Å.
Space group P4/mmm (No. 123)
Unique sites:
La (0.0000, 0.5000, 0.0000) x2  2 Co 2.67
In (0.0000, 0.0000, 0.5000) x1  2 Co 2.46
Co (0.0000, 0.0000, 0.0000) x1  2 In 2.46, 4 La 2.67
Te (0.5000, 0.5000, 0.5000) x1  8 La 3.63, 4 In 3.77

***

The following is a DFT calculation (PBE) of La3Tl2In3Co after structural relaxation.

**Spin magnetization**: 0.000 μB/f.u.
**ΔH_f (0 K)**: -0.40 eV per atom

abc: 7.7374 7.7374 4.6761
angles: 90.00 90.00 120.00
Last column: nearest neighbours and their distance in Å.
Space group P-62m (No. 189)
Unique sites:
La (0.0000, 0.6202, 0.0000) x3  1 Co 2.94
Tl (0.3333, 0.6667, 0.5000) x2  3 In 3.07, 6 La 3.36
In (0.0000, 0.2278, 0.5000) x3  2 Co 2.93, 2 In 3.05, 2 Tl 3.07
Co (0.0000, 0.0000, 0.0000) x1  6 In 2.93, 3 La 2.94

***

The following is a DFT calculation (PBE) of LaTlIn2Co after structural relaxation.

**Polymorph energy (0 for the lowest one)**: 138.8 meV/atom
**Spin magnetization**: 0.234 μB/f.u.
**ΔH_f (0 K)**: -0.14 eV per atom

abc: 4.9705 4.9705 5.0394
angles: 90.00 90.00 90.00
Last column: nearest neighbours and their distance in Å.
Space group P4/mmm (No. 123)
Unique sites:
La (0.0000, 0.0000, 0.0000) x1  4 Tl 3.51, 8 In 3.54
Tl (0.5000, 0.5000, 0.0000) x1  2 Co 2.52
In (0.0000, 0.5000, 0.5000) x2  2 Co 2.49
Co (0.5000, 0.5000, 0.5000) x1  4 In 2.49, 2 Tl 2.52

***

The following is a DFT calculation (PBE) of LaTlIn2Co after structural relaxation.

**Polymorph energy (0 for the lowest one)**: 0.0 meV/atom
**Spin magnetization**: 0.000 μB/f.u.
**ΔH_f (0 K)**: -0.28 eV per atom

abc: 5.0739 5.0739 5.0513
angles: 90.00 90.00 90.00
Last column: nearest neighbours and their distance in Å.
Space group P4/mmm (No. 123)
Unique sites:
La (0.0000, 0.0000, 0.0000) x1  2 Co 2.53
Tl (0.5000, 0.5000, 0.0000) x1  8 In 3.58, 4 La 3.59
In (0.0000, 0.5000, 0.5000) x2  2 Co 2.54
Co (0.0000, 0.0000, 0.5000) x1  2 La 2.53, 4 In 2.54

***

The following is a DFT calculation (PBE) of LaV2InCo after structural relaxation.

**Spin magnetization**: 7.662 μB/f.u.
**ΔH_f (0 K)**: 1.08 eV per atom

abc: 5.0738 5.0738 4.7854
angles: 90.00 90.00 90.00
Last column: nearest neighbours and their distance in Å.
Space group P4/mmm (No. 123)
Unique sites:
La (0.0000, 0.0000, 0.0000) x1  8 V 3.49, 4 Co 3.59
V (0.0000, 0.5000, 0.5000) x2  2 In 2.54
In (0.5000, 0.5000, 0.5000) x1  2 Co 2.39, 4 V 2.54
Co (0.5000, 0.5000, 0.0000) x1  2 In 2.39

***

The following is a DFT calculation (PBE) of LaVIn2Co after structural relaxation.

**Spin magnetization**: 0.061 μB/f.u.
**ΔH_f (0 K)**: 1.60 eV per atom

abc: 5.9393 5.9393 4.4420
angles: 90.00 90.00 90.00
Last column: nearest neighbours and their distance in Å.
Space group P4/mmm (No. 123)
Unique sites:
La (0.0000, 0.0000, 0.0000) x1  2 Co 2.22
V (0.5000, 0.5000, 0.5000) x1  8 In 3.71
In (0.0000, 0.5000, 0.0000) x2  2 La 2.97
Co (0.0000, 0.0000, 0.5000) x1  2 La 2.22

***

The following is a DFT calculation (PBE) of La2YInCo after structural relaxation.

**Polymorph energy (0 for the lowest one)**: 161.3 meV/atom
**Spin magnetization**: 0.653 μB/f.u.
**ΔH_f (0 K)**: -0.11 eV per atom

abc: 5.2537 5.2537 5.2414
angles: 90.00 90.00 90.00
Last column: nearest neighbours and their distance in Å.
Space group P4/mmm (No. 123)
Unique sites:
La (0.0000, 0.5000, 0.0000) x2  2 Co 2.63
Y (0.0000, 0.0000, 0.5000) x1  8 La 3.71, 4 In 3.71
In (0.5000, 0.5000, 0.5000) x1  2 Co 2.62
Co (0.5000, 0.5000, 0.0000) x1  2 In 2.62, 4 La 2.63

***

The following is a DFT calculation (PBE) of La2YInCo after structural relaxation.

**Polymorph energy (0 for the lowest one)**: 0.0 meV/atom
**Spin magnetization**: 0.000 μB/f.u.
**ΔH_f (0 K)**: -0.27 eV per atom

abc: 5.1755 5.1755 5.4533
angles: 90.00 90.00 90.00
Last column: nearest neighbours and their distance in Å.
Space group P4/mmm (No. 123)
Unique sites:
La (0.0000, 0.5000, 0.0000) x2  2 Co 2.59
Y (0.0000, 0.0000, 0.5000) x1  2 Co 2.73
In (0.5000, 0.5000, 0.5000) x1  4 Y 3.66, 8 La 3.76
Co (0.0000, 0.0000, 0.0000) x1  4 La 2.59, 2 Y 2.73

***

The following is a DFT calculation (PBE) of Li2InCo after structural relaxation.

**Spin magnetization**: 0.918 μB/f.u.
**ΔH_f (0 K)**: 0.02 eV per atom

abc: 4.2715 3.1550 4.5288
angles: 90.00 90.53 90.00
Last column: nearest neighbours and their distance in Å.
Space group P2/m (No. 10)
Unique sites:
Li (0.0000, 0.0000, 0.0000) x1  4 Li 2.66, 4 In 2.76
Li (0.5000, 0.5000, 0.0000) x1  4 Li 2.66, 4 Co 2.76
In (0.0000, 0.5000, 0.5000) x1  4 Co 2.66, 4 Li 2.76
Co (0.5000, 0.0000, 0.5000) x1  4 In 2.66, 4 Li 2.76

***

The following is a DFT calculation (PBE) of Li2InCo after structural relaxation.

**Spin magnetization**: 1.000 μB/f.u.
**ΔH_f (0 K)**: 0.04 eV per atom

abc: 3.7629 3.7629 8.6364
angles: 90.00 90.00 90.00
Last column: nearest neighbours and their distance in Å.
Space group I4/mmm (No. 139)
Unique sites:
Li (0.0000, 0.5000, 0.2500) x4  4 Li 2.66, 4 Co 2.86, 4 In 2.86
In (0.0000, 0.0000, 0.0000) x2  4 Co 2.66, 8 Li 2.86
Co (0.0000, 0.0000, 0.5000) x2  4 In 2.66, 8 Li 2.86

***

The following is a DFT calculation (PBE) of LiIn2Co after structural relaxation.

**Spin magnetization**: 0.906 μB/f.u.
**ΔH_f (0 K)**: 0.09 eV per atom

abc: 3.4525 3.4525 5.9289
angles: 90.00 90.00 90.00
Last column: nearest neighbours and their distance in Å.
Space group P4mm (No. 99)
Unique sites:
Li (0.0000, 0.0000, 0.0000) x1  5 In 2.55-2.79, 4 Co 2.81
In (0.0000, 0.0000, 0.4307) x1  1 Li 2.55, 4 Co 2.70
In (0.5000, 0.5000, 0.7731) x1  1 Co 2.73, 4 Li 2.79
Co (0.5000, 0.5000, 0.2344) x1  5 In 2.70-2.73, 4 Li 2.81

***

The following is a DFT calculation (PBE) of LiIn2Co after structural relaxation.

**Spin magnetization**: 1.064 μB/f.u.
**ΔH_f (0 K)**: 0.16 eV per atom

abc: 4.6511 3.0992 5.4776
angles: 90.00 114.49 90.00
Last column: nearest neighbours and their distance in Å.
Space group P2/m (No. 10)
Unique sites:
Li (0.0000, 0.0000, 0.0000) x1  6 In 2.76-2.79
In (0.5000, 0.0000, 0.5000) x1  2 Li 2.76, 4 Co 2.79
In (0.5000, 0.5000, 0.0000) x1  2 Co 2.76, 4 Li 2.79
Co (0.0000, 0.5000, 0.5000) x1  6 In 2.76-2.79

***

What V values result from the calculations? In sequence: 31.7; 28.6; 31.5; 25.6; 21.0; 25.6; 29.6; 28.0; 27.4; 32.1; 27.6; 30.9; 31.9; 27.7; 31.4; 28.0; 26.9; 24.9; 26.0; 24.6; 31.3; 28.9; 29.2; 15.3; 15.3; 17.7; 18.0 Å³/atom.